No. 1
HoErFeCo after structural relaxation, computed with PBE-GGA.

## Properties
Electronic total energy in eV per atom: -6.16
Calculated volume in Å³/atom: 17.98
Fermi-level density of states in states/eV per cell: 5.68
SG: No. 216
Formation enthalpy at 0 K in eV per atom: 0.015
Crystal system: cubic

Lattice parameters (Å, degrees): 4.6682 4.6682 4.6682 60.00 60.00 60.00
Fractional positions:
Co (0.2500, 0.2500, 0.2500)
Ho (0.5000, 0.5000, 0.5000)
Fe (0.7500, 0.7500, 0.7500)
Er (0.0000, 0.0000, 0.0000)

=====

No. 2
ErLuFeCo after structural relaxation, computed with PBE-GGA.

## Properties
Electronic total energy in eV per atom: -6.20
Calculated volume in Å³/atom: 17.48
Fermi-level density of states in states/eV per cell: 5.71
SG: No. 216
Formation enthalpy at 0 K in eV per atom: -0.034
Crystal system: cubic

Lattice parameters (Å, degrees): 4.6238 4.6238 4.6238 60.00 60.00 60.00
Fractional positions:
Fe (0.2500, 0.2500, 0.2500)
Er (0.0000, 0.0000, 0.0000)
Lu (0.5000, 0.5000, 0.5000)
Co (0.7500, 0.7500, 0.7500)

=====

No. 3
ErFeCoP2 after structural relaxation, computed with PBE-GGA.

## Properties
Electronic total energy in eV per atom: -7.20
Calculated volume in Å³/atom: 13.51
Fermi-level density of states in states/eV per cell: 2.84
SG: No. 119
Formation enthalpy at 0 K in eV per atom: -1.005
Crystal system: tetragonal

Lattice parameters (Å, degrees): 3.7795 3.7795 5.4310 110.36 110.36 90.00
Fractional positions:
Fe (0.7500, 0.2500, 0.5000)
P (0.6253, 0.6253, 0.2506)
P (0.3747, 0.3747, 0.7494)
Er (0.0000, 0.0000, 0.0000)
Co (0.2500, 0.7500, 0.5000)

=====

No. 4
ErPaFeCo after structural relaxation, computed with PBE-GGA.

## Properties
Electronic total energy in eV per atom: -7.46
Calculated volume in Å³/atom: 18.30
Fermi-level density of states in states/eV per cell: 4.59
SG: No. 216
Formation enthalpy at 0 K in eV per atom: -0.051
Crystal system: cubic

Lattice parameters (Å, degrees): 4.6953 4.6953 4.6953 60.00 60.00 60.00
Fractional positions:
Co (0.2500, 0.2500, 0.2500)
Fe (0.7500, 0.7500, 0.7500)
Er (0.5000, 0.5000, 0.5000)
Pa (0.0000, 0.0000, 0.0000)